# 1
GGA-PBE ReAg2Te, relaxed; energy relative to the elements, uncorrected = 520 meV/atom; theoretical density = 10.9 Mg/m³; calculated volume = 80.7 Å³ per cell; calculated total energy = -4.803 eV per atom
1.0
1.579 0.912 9.343
-1.579 0.912 9.343
0.000 -1.823 9.343
Re Ag Te
1 2 1
Direct
0.000 0.000 0.000
0.253 0.253 0.253
0.508 0.508 0.508
0.735 0.735 0.735

# 2
GGA-PBE ReAg2Te, relaxed; energy relative to the elements, uncorrected = 812 meV/atom; theoretical density = 11.5 Mg/m³; calculated volume = 76.7 Å³ per cell; calculated total energy = -4.511 eV per atom
1.0
2.807 0.000 0.000
0.000 4.656 0.000
0.000 0.000 5.872
Re Ag Te
1 2 1
Direct
0.000 0.000 0.000
0.500 0.500 0.227
0.500 0.500 0.773
0.000 0.000 0.500

# 3
GGA-PBE ReAgTe3, relaxed; energy relative to the elements, uncorrected = 801 meV/atom; theoretical density = 7.7 Mg/m³; relative energy among the computed polymorphs = 0.000 eV per atom; calculated volume = 146.3 Å³ per cell; calculated total energy = -4.144 eV per atom
1.0
5.269 0.000 0.000
0.000 5.269 0.000
0.000 0.000 5.269
Re Ag Te
1 1 3
Direct
0.000 0.000 0.000
0.500 0.500 0.500
0.000 0.000 0.500
0.000 0.500 0.000
0.500 0.000 0.000

# 4
GGA-PBE ReAg2Te, relaxed; energy relative to the elements, uncorrected = 664 meV/atom; theoretical density = 11.4 Mg/m³; calculated volume = 76.8 Å³ per cell; calculated total energy = -4.659 eV per atom
1.0
2.824 0.000 0.000
0.000 4.744 0.000
-1.410 0.000 5.735
Re Ag Te
1 2 1
Direct
0.000 0.000 0.000
0.372 0.500 0.745
0.751 0.000 0.507
0.111 0.500 0.220

# 5
GGA-PBE Re2AgTe, relaxed; energy relative to the elements, uncorrected = 977 meV/atom; theoretical density = 13.7 Mg/m³; calculated volume = 73.8 Å³ per cell; calculated total energy = -6.745 eV per atom
1.0
2.817 0.000 0.000
0.000 4.620 0.000
-0.146 0.000 5.673
Re Ag Te
2 1 1
Direct
0.093 0.000 0.211
0.907 0.000 0.789
0.500 0.500 0.000
0.000 0.500 0.500

# 6
GGA-PBE Re2AgTe, relaxed; energy relative to the elements, uncorrected = 1015 meV/atom; theoretical density = 14.9 Mg/m³; calculated volume = 67.9 Å³ per cell; calculated total energy = -6.707 eV per atom
1.0
3.230 0.000 0.000
0.000 3.230 0.000
0.000 0.000 6.508
Re Ag Te
2 1 1
Direct
0.000 0.000 0.238
0.000 0.000 0.762
0.500 0.500 0.500
0.500 0.500 0.000

# 7
GGA-PBE Re2AgTe, relaxed; energy relative to the elements, uncorrected = 951 meV/atom; theoretical density = 12.8 Mg/m³; calculated volume = 157.2 Å³ per cell; calculated total energy = -6.771 eV per atom
1.0
-1.991 1.991 9.913
1.991 -1.991 9.913
1.991 1.991 -9.913
Re Ag Te
4 2 2
Direct
0.054 0.625 0.929
0.375 0.304 0.429
0.696 0.125 0.071
0.875 0.946 0.571
0.000 0.000 0.000
0.750 0.250 0.500
0.250 0.750 0.500
0.500 0.500 0.000

# 8
GGA-PBE Re2AgTe, relaxed; energy relative to the elements, uncorrected = 710 meV/atom; theoretical density = 13.3 Mg/m³; calculated volume = 75.6 Å³ per cell; calculated total energy = -7.013 eV per atom
1.0
1.567 -2.419 0.000
1.567 2.419 0.000
0.000 0.000 9.978
Re Ag Te
2 1 1
Direct
0.000 0.000 0.000
0.500 0.500 0.197
0.000 0.000 0.442
0.500 0.500 0.739

# 9
GGA-PBE ReAgTe, relaxed; energy relative to the elements, uncorrected = 744 meV/atom; theoretical density = 11.1 Mg/m³; relative energy among the computed polymorphs = 0.091 eV per atom; calculated volume = 63.1 Å³ per cell; calculated total energy = -5.403 eV per atom
1.0
0.000 3.160 3.160
3.160 0.000 3.160
3.160 3.160 0.000
Re Ag Te
1 1 1
Direct
0.000 0.000 0.000
0.250 0.250 0.250
0.750 0.750 0.750

# 10
GGA-PBE ReAg2Te, relaxed; energy relative to the elements, uncorrected = 766 meV/atom; theoretical density = 11.9 Mg/m³; calculated volume = 74.2 Å³ per cell; calculated total energy = -4.557 eV per atom
1.0
3.332 0.000 0.000
0.000 4.460 0.000
0.000 0.000 4.992
Re Ag Te
1 2 1
Direct
0.000 0.000 0.000
0.000 0.500 0.500
0.500 0.000 0.500
0.500 0.500 0.000

# 11
GGA-PBE ReAg2Te, relaxed; energy relative to the elements, uncorrected = 797 meV/atom; theoretical density = 11.9 Mg/m³; calculated volume = 73.7 Å³ per cell; calculated total energy = -4.527 eV per atom
1.0
0.000 3.327 3.327
3.327 0.000 3.327
3.327 3.327 0.000
Re Ag Te
1 2 1
Direct
0.000 0.000 0.000
0.250 0.250 0.250
0.500 0.500 0.500
0.750 0.750 0.750

# 12
GGA-PBE ReAg2Te2, relaxed; energy relative to the elements, uncorrected = 1296 meV/atom; theoretical density = 8.4 Mg/m³; relative energy among the computed polymorphs = 0.387 eV per atom; calculated volume = 129.5 Å³ per cell; calculated total energy = -3.590 eV per atom
1.0
-2.125 2.125 7.170
2.125 -2.125 7.170
2.125 2.125 -7.170
Re Ag Te
1 2 2
Direct
0.000 0.000 0.000
0.409 0.409 0.000
0.591 0.591 0.000
0.250 0.750 0.500
0.750 0.250 0.500

# 13
GGA-PBE ReAg2Te, relaxed; energy relative to the elements, uncorrected = 738 meV/atom; theoretical density = 11.7 Mg/m³; calculated volume = 74.8 Å³ per cell; calculated total energy = -4.585 eV per atom
1.0
-1.577 2.290 5.180
1.577 -2.290 5.180
1.577 2.290 -5.180
Re Ag Te
1 2 1
Direct
0.000 0.000 0.000
0.239 0.739 0.500
0.761 0.261 0.500
0.500 0.500 0.000

# 14
GGA-PBE Re4AgTe, relaxed; energy relative to the elements, uncorrected = 862 meV/atom; theoretical density = 15.3 Mg/m³; calculated volume = 106.4 Å³ per cell; calculated total energy = -8.436 eV per atom
1.0
0.000 3.762 3.762
3.762 0.000 3.762
3.762 3.762 0.000
Re Ag Te
4 1 1
Direct
0.124 0.124 0.124
0.124 0.124 0.627
0.124 0.627 0.124
0.627 0.124 0.124
0.750 0.750 0.750
0.500 0.500 0.500

# 15
GGA-PBE Re2AgTe, relaxed; energy relative to the elements, uncorrected = 1164 meV/atom; theoretical density = 14.1 Mg/m³; calculated volume = 71.7 Å³ per cell; calculated total energy = -6.558 eV per atom
1.0
1.483 -2.395 0.000
1.483 2.395 0.000
0.000 0.000 10.090
Re Ag Te
2 1 1
Direct
0.000 0.000 0.242
0.000 0.000 0.758
0.500 0.500 0.000
0.500 0.500 0.500

# 16
GGA-PBE ReAg2Te, relaxed; energy relative to the elements, uncorrected = 482 meV/atom; theoretical density = 11.4 Mg/m³; calculated volume = 76.9 Å³ per cell; calculated total energy = -4.841 eV per atom
1.0
3.268 0.000 0.000
0.000 3.268 0.000
0.000 0.000 7.203
Re Ag Te
1 2 1
Direct
0.000 0.000 0.000
0.000 0.000 0.531
0.500 0.500 0.756
0.500 0.500 0.200

# 17
GGA-PBE ReAg2Te, relaxed; energy relative to the elements, uncorrected = 775 meV/atom; theoretical density = 11.9 Mg/m³; calculated volume = 73.7 Å³ per cell; calculated total energy = -4.548 eV per atom
1.0
-2.113 2.113 4.124
2.113 -2.113 4.124
2.113 2.113 -4.124
Re Ag Te
1 2 1
Direct
0.000 0.000 0.000
0.500 0.500 0.000
0.750 0.250 0.500
0.250 0.750 0.500

# 18
GGA-PBE Re2AgTe, relaxed; energy relative to the elements, uncorrected = 582 meV/atom; theoretical density = 11.9 Mg/m³; calculated volume = 85.0 Å³ per cell; calculated total energy = -7.140 eV per atom
1.0
3.362 -1.481 0.000
3.362 1.481 0.000
-0.488 0.000 8.534
Re Ag Te
2 1 1
Direct
0.000 0.000 0.000
0.245 0.245 0.827
0.697 0.697 0.253
0.584 0.584 0.577

# 19
GGA-PBE ReAgTe, relaxed; energy relative to the elements, uncorrected = 883 meV/atom; theoretical density = 12.3 Mg/m³; relative energy among the computed polymorphs = 0.230 eV per atom; calculated volume = 57.1 Å³ per cell; calculated total energy = -5.264 eV per atom
1.0
4.841 0.000 0.000
-2.421 4.193 0.000
0.000 0.000 2.811
Re Ag Te
1 1 1
Direct
0.000 0.000 0.000
0.667 0.333 0.500
0.333 0.667 0.000

# 20
GGA-PBE Re2AgTe, relaxed; energy relative to the elements, uncorrected = 945 meV/atom; theoretical density = 14.2 Mg/m³; calculated volume = 70.9 Å³ per cell; calculated total energy = -6.778 eV per atom
1.0
-1.558 2.317 4.907
1.558 -2.317 4.907
1.558 2.317 -4.907
Re Ag Te
2 1 1
Direct
0.219 0.219 0.000
0.781 0.781 0.000
0.500 0.000 0.500
0.000 0.500 0.500